Below is a geometry-optimized YRe2Ir structure, with properties calculated at the PBE level.

Summary:
Crystal system: monoclinic
Symmetry: C2/m
Relative energy among the computed polymorphs (meV per atom): 101.0

abc: 5.2730 5.2730 4.9017
angles: 76.93 76.93 31.91
With the nearest neighbours (Å) after each atom.
Sites, in units of the cell vectors:
Ir 0.7500 0.7500 0.7500  4 Re 2.71, 4 Y 2.85, 2 Ir 2.90
Re 0.0232 0.0232 0.9557  4 Re 2.61-2.90, 2 Ir 2.71
Re 0.4768 0.4768 0.5443  4 Re 2.61-2.90, 2 Ir 2.71
Y 0.2500 0.2500 0.2500  4 Ir 2.85, 2 Y 2.90, 6 Re 2.99-3.16


Below is a geometry-optimized YRe2Ir structure, with properties calculated at the PBE level.

Summary:
Crystal system: tetragonal
Symmetry: P4mm
Relative energy among the computed polymorphs (meV per atom): 0.0

abc: 3.0485 3.0485 7.6541
angles: 90.00 90.00 90.00
With the nearest neighbours (Å) after each atom.
Sites, in units of the cell vectors:
Ir 0.5000 0.5000 0.7834  4 Re 2.78, 4 Ir 3.05, 4 Y 3.05
Re 0.0000 0.0000 0.0130  4 Re 2.60, 4 Ir 2.78
Re 0.5000 0.5000 0.2026  4 Re 2.60
Y 0.0000 0.0000 0.5010  4 Y 3.05, 4 Ir 3.05, 4 Re 3.14


Below is a geometry-optimized YReIr structure, with properties calculated at the PBE level.

Summary:
Crystal system: hexagonal
Symmetry: P-6m2
Relative energy among the computed polymorphs (meV per atom): 144.8

abc: 4.5983 4.5983 3.0485
angles: 90.00 90.00 120.00
With the nearest neighbours (Å) after each atom.
Sites, in units of the cell vectors:
Ir 0.0000 0.0000 0.1668  3 Re 2.65
Re 0.3333 0.6667 0.1665  3 Ir 2.65
Y 0.6667 0.3333 0.6667  2 Y 3.05, 6 Re 3.06, 6 Ir 3.06


Below is a geometry-optimized YReIr2 structure, with properties calculated at the PBE level.

Summary:
Crystal system: orthorhombic
Symmetry: Amm2
Relative energy among the computed polymorphs (meV per atom): 82.8

abc: 4.5584 2.9389 5.3368
angles: 73.95 90.00 90.00
With the nearest neighbours (Å) after each atom.
Sites, in units of the cell vectors:
Ir 0.0000 0.2101 0.9556  3 Re 2.73-2.82, 4 Y 2.80, 4 Ir 2.89-2.94
Ir 0.5000 0.0355 0.3023  3 Y 2.65-2.88, 4 Re 2.78, 4 Ir 2.89-2.94
Re 0.0000 0.4754 0.4237  7 Ir 2.73-2.82, 2 Re 2.94
Y 0.5000 0.7790 0.8184  7 Ir 2.65-2.88, 2 Y 2.94